The following is a PBE calculation of a relaxed structure of YOsSe2, from the Alexandria database.

Cell: 6.702 6.702 6.702 Å, 90.00 90.00 90.00°
Sites, in units of the cell vectors:
1 Y 0.000 0.000 0.000
2 Y 0.000 0.500 0.500
3 Y 0.500 0.000 0.500
4 Y 0.500 0.500 0.000
5 Os 0.000 0.000 0.500
6 Os 0.000 0.500 0.000
7 Os 0.500 0.000 0.000
8 Os 0.500 0.500 0.500
9 Se 0.250 0.250 0.250
10 Se 0.250 0.250 0.750
11 Se 0.250 0.750 0.250
12 Se 0.250 0.750 0.750
13 Se 0.750 0.250 0.250
14 Se 0.750 0.250 0.750
15 Se 0.750 0.750 0.250
16 Se 0.750 0.750 0.750

## Properties
For the energy above the lowest structure with this stoichiometry, the calculation gives 280.0 meV per atom. For the total moment, the calculation gives 0.0 μB/cell. The value obtained for the raw total energy is -102.48 eV per cell. The calculation puts the uncorrected formation energy at -0.2393 eV per atom.